Al5Ru PBE relaxed; space group = P6/mmm (191); DOS(E_F) = 3.06 states/eV per cell; energy relative to the elements = 0.290 eV/atom
1.0
-4.2730 -1.5784 -1.8892
1.5169 -1.6573 4.3899
-2.2347 3.5301 2.1049
Al Ru
5 1
Direct
0.3333 0.6667 0.0000
0.6667 0.3333 0.0000
0.5000 0.0000 0.5000
0.0000 0.5000 0.5000
0.5000 0.5000 0.5000
0.0000 0.0000 0.0000